a | Below is a relaxed Cu2Rh crystal, with properties calculated at the PBE-GGA level.

Properties
volume: 48.8 Å³/cell
total magnetization: 0.0000 μB per atom

POSCAR file:
```
Cu2Rh
1.0
-1.313 -0.883 -4.080
4.007 -1.466 -0.972
-0.682 -2.345 0.727
Cu Rh
2 1
Cartesian
1.663 -1.906 -0.122 Cu
-0.997 -1.614 -1.677 Cu
0.000 0.000 0.000 Rh
```

---

b | Below is a relaxed Cu2Rh crystal, with properties calculated at the PBE-GGA level.

Properties
volume: 80.8 Å³/cell
total magnetization: 0.0956 μB per atom

POSCAR file:
```
Cu2Rh
1.0
-1.296 1.296 12.033
1.296 -1.296 12.033
1.296 1.296 -12.033
Cu Rh
4 2
Cartesian
1.296 0.000 7.959 Cu
1.296 0.000 4.075 Cu
0.000 0.000 13.975 Cu
0.000 0.000 10.091 Cu
0.000 0.000 0.000 Rh
0.000 1.296 6.017 Rh
```

---

c | Below is a relaxed Cu2Rh crystal, with properties calculated at the PBE-GGA level.

Properties
volume: 78.6 Å³/cell
total magnetization: 0.0013 μB per atom

POSCAR file:
```
Cu2Rh
1.0
-3.280 0.029 2.676
0.266 -2.985 -2.991
2.578 -2.969 3.192
Cu Rh
4 2
Cartesian
0.000 0.000 0.000 Cu
1.289 -1.484 1.596 Cu
-0.272 -2.723 -0.303 Cu
-0.165 -3.202 3.182 Cu
1.017 -4.207 1.293 Rh
-1.454 -1.718 1.585 Rh
```

---

So which one is most stable? That would be c, about 0.014 eV/atom below the next structure.

---

a | Below is a relaxed CuRh4 crystal, with properties calculated at the PBE-GGA level.

Properties
volume: 87.3 Å³/cell
total magnetization: 0.7144 μB per atom

POSCAR file:
```
CuRh4
1.0
4.435 0.000 0.000
0.000 4.435 0.000
0.000 0.000 4.435
Rh Cu
4 1
Cartesian
0.000 0.000 0.000 Rh
2.218 0.000 2.218 Rh
0.000 2.218 2.218 Rh
2.218 2.218 0.000 Rh
2.218 2.218 2.218 Cu
```

---

b | Below is a relaxed CuRh4 crystal, with properties calculated at the PBE-GGA level.

Properties
volume: 69.3 Å³/cell
total magnetization: 0.0000 μB per atom

POSCAR file:
```
CuRh4
1.0
-4.542 -2.091 3.382
2.743 -5.364 0.368
0.008 -3.156 3.447
Cu Rh
1 4
Cartesian
0.000 0.000 0.000 Cu
-1.984 -4.903 2.929 Rh
0.186 -2.551 0.821 Rh
-2.187 -2.329 2.110 Rh
0.389 -5.126 1.640 Rh
```

---

So which one is most stable? That would be b, about 1.318 eV/atom below the next structure.

---

a | Below is a relaxed CuRh4 crystal, with properties calculated at the PBE-GGA level.

Properties
volume: 69.5 Å³/cell
total magnetization: 0.0000 μB per atom

POSCAR file:
```
CuRh4
1.0
-1.696 2.103 -0.199
-2.590 -0.274 0.744
1.168 3.666 10.347
Cu Rh
1 4
Cartesian
0.000 0.000 0.000 Cu
-2.349 1.818 2.353 Rh
-0.394 1.827 4.233 Rh
-2.724 3.667 6.660 Rh
-0.769 3.677 8.539 Rh
```

---

b | Below is a relaxed CuRh4 crystal, with properties calculated at the PBE-GGA level.

Properties
volume: 79.1 Å³/cell
total magnetization: 0.0000 μB per atom

POSCAR file:
```
CuRh4
1.0
-1.785 1.785 6.206
1.785 -1.785 6.206
1.785 1.785 -6.206
Cu Rh
1 4
Cartesian
0.000 0.000 0.000 Cu
1.785 0.000 3.103 Rh
0.000 0.000 7.414 Rh
0.000 0.000 4.997 Rh
0.000 1.785 3.103 Rh
```

---

c | Below is a relaxed CuRh4 crystal, with properties calculated at the PBE-GGA level.

Properties
volume: 278.1 Å³/cell
total magnetization: 0.0000 μB per atom

POSCAR file:
```
CuRh4
1.0
3.766 0.009 0.555
0.073 10.767 -0.763
0.893 -0.881 7.052
Cu Rh
4 16
Cartesian
1.104 1.721 5.542 Cu
1.140 7.104 5.160 Cu
3.592 2.791 1.684 Cu
3.628 8.175 1.303 Cu
3.233 8.353 3.986 Rh
1.925 6.749 -0.194 Rh
2.807 3.147 7.038 Rh
1.499 1.542 2.858 Rh
1.888 1.365 0.187 Rh
3.177 0.282 4.564 Rh
1.555 9.613 2.280 Rh
2.844 8.530 6.657 Rh
3.197 2.970 4.368 Rh
1.535 6.925 2.476 Rh
3.214 5.665 4.183 Rh
1.518 4.230 2.661 Rh
3.571 0.094 1.885 Rh
3.608 5.478 1.503 Rh
1.161 9.801 4.960 Rh
1.124 4.417 5.341 Rh
```

---

So which one is most stable? That would be a, about 0.037 eV/atom below the next structure.

---

a | Below is a relaxed Cu5Rh4 crystal, with properties calculated at the PBE-GGA level.

Properties
volume: 118.2 Å³/cell
total magnetization: 0.0004 μB per atom

POSCAR file:
```
Cu5Rh4
1.0
-1.430 2.575 -2.293
-5.240 1.726 2.169
1.842 5.337 1.806
Cu Rh
5 4
Cartesian
1.817 5.324 1.808 Cu
-0.493 4.146 1.926 Cu
-2.879 2.930 2.048 Cu
-0.375 6.756 1.742 Cu
0.268 5.290 -0.301 Cu
-2.743 5.563 1.884 Rh
-5.100 4.361 2.005 Rh
-4.446 2.871 -0.081 Rh
-2.089 4.073 -0.201 Rh
```

---

b | Below is a relaxed Cu5Rh4 crystal, with properties calculated at the PBE-GGA level.

Properties
volume: 240.1 Å³/cell
total magnetization: 0.0006 μB per atom

POSCAR file:
```
Cu5Rh4
1.0
7.379 0.000 0.000
3.689 6.390 0.000
0.000 0.000 5.092
Rh Cu
8 10
Cartesian
0.000 0.000 0.000 Rh
0.000 0.000 2.546 Rh
6.113 2.191 1.273 Rh
2.424 4.199 1.273 Rh
2.530 0.000 1.273 Rh
4.955 4.199 3.819 Rh
1.265 2.191 3.819 Rh
4.848 0.000 3.819 Rh
4.892 4.306 1.273 Cu
1.203 2.084 1.273 Cu
4.973 0.000 1.273 Cu
6.176 2.084 3.819 Cu
2.486 4.306 3.819 Cu
2.406 0.000 3.819 Cu
3.689 2.130 0.000 Cu
7.379 4.260 2.546 Cu
7.379 4.260 0.000 Cu
3.689 2.130 2.546 Cu
```

---

So which one is most stable? That would be a, about 0.134 eV/atom below the next structure.

---

a | Below is a relaxed Cu4Rh5 crystal, with properties calculated at the PBE-GGA level.

Properties
volume: 120.8 Å³/cell
total magnetization: 0.0006 μB per atom

POSCAR file:
```
Cu4Rh5
1.0
-0.208 -6.895 -4.037
4.422 -3.463 5.687
0.532 -5.673 1.749
Cu Rh
4 5
Cartesian
1.499 -1.174 1.928 Cu
2.923 -2.289 3.759 Cu
-0.071 -2.337 -1.369 Cu
-0.138 -4.558 -2.669 Cu
0.000 0.000 0.000 Rh
1.404 -3.453 0.550 Rh
2.878 -4.607 2.446 Rh
1.335 -5.751 -0.796 Rh
2.809 -6.906 1.100 Rh
```

---

b | Below is a relaxed Cu4Rh5 crystal, with properties calculated at the PBE-GGA level.

Properties
volume: 244.1 Å³/cell
total magnetization: 0.0064 μB per atom

POSCAR file:
```
Cu4Rh5
1.0
-5.689 -2.831 3.814
-3.051 -6.416 -2.111
3.285 -2.551 3.005
Rh Cu
10 8
Cartesian
-3.088 -5.887 0.568 Rh
-0.171 -2.725 0.064 Rh
-3.017 -2.548 3.325 Rh
-2.367 -5.910 4.141 Rh
0.405 -6.242 0.829 Rh
0.613 -2.834 3.495 Rh
-2.913 -3.082 0.568 Rh
-4.184 -7.440 2.638 Rh
-5.826 -6.164 1.135 Rh
-1.271 -4.358 2.070 Rh
0.000 0.000 0.000 Cu
1.642 -1.275 1.503 Cu
-3.975 -4.681 2.561 Cu
-1.198 -4.883 -0.646 Cu
-1.103 -1.595 2.041 Cu
-1.479 -7.116 2.147 Cu
1.432 -4.083 1.540 Cu
-1.301 -3.787 4.778 Cu
```

---

So which one is most stable? That would be a, about 0.116 eV/atom below the next structure.

---

a | Below is a relaxed Cu4Rh crystal, with properties calculated at the PBE-GGA level.

Properties
volume: 135.7 Å³/cell
total magnetization: 0.0000 μB per atom

POSCAR file:
```
Cu4Rh
1.0
-4.039 3.314 -1.242
-1.170 -3.028 -4.278
-2.927 -2.582 2.629
Cu Rh
8 2
Cartesian
-2.481 -1.153 -3.896 Cu
-2.995 -2.496 -1.575 Cu
-5.141 0.200 -1.316 Cu
-3.244 -0.630 -0.018 Cu
-3.951 0.781 -3.633 Cu
-2.727 1.439 -1.624 Cu
-1.257 -0.495 -1.886 Cu
-4.892 -1.667 -2.872 Cu
-2.196 -1.937 1.972 Rh
-0.732 -0.646 0.657 Rh
```

---

b | Below is a relaxed Cu4Rh crystal, with properties calculated at the PBE-GGA level.

Properties
volume: 85.3 Å³/cell
total magnetization: 0.0023 μB per atom

POSCAR file:
```
Cu4Rh
1.0
2.731 -2.203 3.281
-4.606 -1.169 0.704
1.349 -1.385 -4.398
Cu Rh
4 1
Cartesian
1.365 -1.102 1.641 Cu
-0.263 -2.379 -0.206 Cu
0.675 -0.692 -2.199 Cu
-2.303 -0.585 0.352 Cu
0.000 0.000 0.000 Rh
```

---

c | Below is a relaxed Cu4Rh crystal, with properties calculated at the PBE-GGA level.

Properties
volume: 96.8 Å³/cell
total magnetization: 0.0004 μB per atom

POSCAR file:
```
Cu4Rh
1.0
-1.791 0.814 -4.148
2.832 -3.114 -1.833
-3.138 -3.274 0.713
Rh Cu
1 4
Cartesian
-1.048 -2.787 -2.635 Rh
0.000 0.000 0.000 Cu
-2.465 -1.230 -1.718 Cu
-0.153 -3.194 -0.560 Cu
0.521 -1.150 -2.991 Cu
```

---

So which one is most stable? That would be a, about 0.451 eV/atom below the next structure.